a:
# LiPr4Zn2 PBE-GGA relaxed
# D(E_F), states/eV per cell: 31.18
data_LiPr4Zn2
_chemical_formula_sum 'Li3 Pr12 Zn6'
_cell_length_a 5.2351
_cell_length_b 5.2351
_cell_length_c 25.2260
_cell_angle_alpha 90.00
_cell_angle_beta 90.00
_cell_angle_gamma 120.00
_space_group_name_H-M_alt 'R -3 m'
_space_group_IT_number 166
_space_group_name_Hall '-R 3 2"'
loop_
_atom_site_label
_atom_site_type_symbol
_atom_site_fract_x
_atom_site_fract_y
_atom_site_fract_z
Li1 Li 0.0000 0.0000 0.0000
Pr1 Pr 0.0000 0.0000 0.1309
Pr2 Pr 0.0000 0.0000 0.3828
Zn1 Zn 0.0000 0.0000 0.2565

=====

b:
# LiPr4Zn2 PBE-GGA relaxed
# D(E_F), states/eV per cell: 27.31
data_LiPr4Zn2
_chemical_formula_sum 'Li3 Pr12 Zn6'
_cell_length_a 5.2491
_cell_length_b 5.2491
_cell_length_c 25.6214
_cell_angle_alpha 90.00
_cell_angle_beta 90.00
_cell_angle_gamma 120.00
_space_group_name_H-M_alt 'R -3 m'
_space_group_IT_number 166
_space_group_name_Hall '-R 3 2"'
loop_
_atom_site_label
_atom_site_type_symbol
_atom_site_fract_x
_atom_site_fract_y
_atom_site_fract_z
Li1 Li 0.0000 0.0000 0.0000
Pr1 Pr 0.0000 0.0000 0.2128
Pr2 Pr 0.0000 0.0000 0.3756
Zn1 Zn 0.0000 0.0000 0.0927

=====

a (58 meV per atom below the next structure)

=====

a:
# LiPr2Zn5 PBE-GGA relaxed
# D(E_F), states/eV per cell: 12.00
data_LiPr2Zn5
_chemical_formula_sum 'Li2 Pr4 Zn10'
_cell_length_a 6.777
_cell_length_b 6.777
_cell_length_c 7.579
_cell_angle_alpha 90.00
_cell_angle_beta 90.00
_cell_angle_gamma 90.00
_space_group_name_H-M_alt 'I 4 m m'
_space_group_IT_number 107
_space_group_name_Hall 'I 4 -2'
loop_
_atom_site_label
_atom_site_type_symbol
_atom_site_fract_x
_atom_site_fract_y
_atom_site_fract_z
Li1 Li 0.000 0.000 0.000
Pr1 Pr 0.000 0.500 0.102
Zn1 Zn 0.000 0.000 0.644
Zn2 Zn 0.194 0.194 0.344

=====

b:
# LiPr2Zn5 PBE-GGA relaxed
# D(E_F), states/eV per cell: 29.16
data_LiPr2Zn5
_chemical_formula_sum 'Li4 Pr8 Zn20'
_cell_length_a 4.441
_cell_length_b 16.599
_cell_length_c 9.080
_cell_angle_alpha 90.00
_cell_angle_beta 90.00
_cell_angle_gamma 90.00
_space_group_name_H-M_alt 'C m c m'
_space_group_IT_number 63
_space_group_name_Hall '-C 2c 2'
loop_
_atom_site_label
_atom_site_type_symbol
_atom_site_fract_x
_atom_site_fract_y
_atom_site_fract_z
Li1 Li 0.000 0.055 0.250
Pr1 Pr 0.000 0.297 0.750
Pr2 Pr 0.000 0.500 0.000
Zn1 Zn 0.000 0.099 0.750
Zn2 Zn 0.000 0.150 0.020
Zn3 Zn 0.000 0.315 0.107

=====

b (48 meV per atom below the next structure)

=====

a:
# Li2PrZn3 PBE-GGA relaxed
# D(E_F), states/eV per cell: 13.65
data_Li2PrZn3
_chemical_formula_sum 'Li8 Pr4 Zn12'
_cell_length_a 10.138
_cell_length_b 9.049
_cell_length_c 5.003
_cell_angle_alpha 90.00
_cell_angle_beta 90.00
_cell_angle_gamma 90.00
_space_group_name_H-M_alt 'C m c m'
_space_group_IT_number 63
_space_group_name_Hall '-C 2c 2'
loop_
_atom_site_label
_atom_site_type_symbol
_atom_site_fract_x
_atom_site_fract_y
_atom_site_fract_z
Li1 Li 0.225 0.000 0.000
Pr1 Pr 0.000 0.304 0.250
Zn1 Zn 0.000 0.064 0.750
Zn2 Zn 0.187 0.265 0.750

=====

b:
# Li2PrZn3 PBE-GGA relaxed
# D(E_F), states/eV per cell: 3.11
data_Li2PrZn3
_chemical_formula_sum 'Li2 Pr1 Zn3'
_cell_length_a 5.3379
_cell_length_b 5.3379
_cell_length_c 4.4228
_cell_angle_alpha 90.00
_cell_angle_beta 90.00
_cell_angle_gamma 120.00
_space_group_name_H-M_alt 'P 6/m m m'
_space_group_IT_number 191
_space_group_name_Hall '-P 6 2'
loop_
_atom_site_label
_atom_site_type_symbol
_atom_site_fract_x
_atom_site_fract_y
_atom_site_fract_z
Li1 Li 0.3333 0.6667 0.0000
Pr1 Pr 0.0000 0.0000 0.0000
Zn1 Zn 0.0000 0.5000 0.5000

=====

b (24 meV per atom below the next structure)

=====

a:
# Li3Pt4 PBE-GGA relaxed
# D(E_F), states/eV per cell: 9.94
data_Li3Pt4
_chemical_formula_sum 'Li6 Pt8'
_cell_length_a 2.838
_cell_length_b 2.838
_cell_length_c 23.886
_cell_angle_alpha 90.00
_cell_angle_beta 90.00
_cell_angle_gamma 90.00
_space_group_name_H-M_alt 'I 4/m m m'
_space_group_IT_number 139
_space_group_name_Hall '-I 4 2'
loop_
_atom_site_label
_atom_site_type_symbol
_atom_site_fract_x
_atom_site_fract_y
_atom_site_fract_z
Li1 Li 0.000 0.000 0.000
Li2 Li 0.000 0.000 0.284
Pt1 Pt 0.000 0.000 0.151
Pt2 Pt 0.000 0.000 0.434

=====

b:
# Li3Pt4 PBE-GGA relaxed
# D(E_F), states/eV per cell: 7.75
data_Li3Pt4
_chemical_formula_sum 'Li3 Pt4'
_cell_length_a 4.6456
_cell_length_b 4.6456
_cell_length_c 5.1867
_cell_angle_alpha 90.00
_cell_angle_beta 90.00
_cell_angle_gamma 120.00
_space_group_name_H-M_alt 'P 6/m m m'
_space_group_IT_number 191
_space_group_name_Hall '-P 6 2'
loop_
_atom_site_label
_atom_site_type_symbol
_atom_site_fract_x
_atom_site_fract_y
_atom_site_fract_z
Li1 Li 0.0000 0.5000 0.0000
Pt1 Pt 0.0000 0.0000 0.2542
Pt2 Pt 0.3333 0.6667 0.5000

=====

a (30 meV per atom below the next structure)